The following is a PBE calculation of crystalline Dy2Er7 at its relaxed geometry, from Alexandria.

Output
Its density is 8.95 Mg/m³. The value obtained for the energy above the lowest structure with this stoichiometry is 13 meV per atom. Its calculated total energy is -4.532 eV per atom.

Structure (CIF):
```
data_Dy2Er7
_cell_length_a 9.5372
_cell_length_b 9.5372
_cell_length_c 3.5236
_cell_angle_alpha 90.00
_cell_angle_beta 90.00
_cell_angle_gamma 120.00
_symmetry_space_group_name_H-M 'P -6 2 m'
_symmetry_Int_Tables_number 189
_symmetry_space_group_name_Hall 'P -6 -2'
loop_
_atom_site_label
_atom_site_type_symbol
_atom_site_fract_x
_atom_site_fract_y
_atom_site_fract_z
Dy1 Dy 0.3333 0.6667 0.0000
Er1 Er 0.0000 0.0000 0.5000
Er2 Er 0.0000 0.3602 0.5000
Er3 Er 0.0000 0.6953 0.0000
```



The following is a PBE calculation of crystalline KGe2TeW at its relaxed geometry, from Alexandria.

Output
For the formation energy without anion corrections, the calculation gives 848.8 kJ/mol of formula units. Its density is 4.59 Mg/m³. Its calculated total energy is -3.526 eV per atom.

Structure (CIF):
```
data_KGe2TeW
_cell_length_a 5.464
_cell_length_b 5.464
_cell_length_c 6.009
_cell_angle_alpha 90.00
_cell_angle_beta 90.00
_cell_angle_gamma 90.00
_symmetry_space_group_name_H-M 'P 4/m m m'
_symmetry_Int_Tables_number 123
_symmetry_space_group_name_Hall '-P 4 2'
loop_
_atom_site_label
_atom_site_type_symbol
_atom_site_fract_x
_atom_site_fract_y
_atom_site_fract_z
K1 K 0.000 0.000 0.000
Ge1 Ge 0.000 0.500 0.500
Te1 Te 0.000 0.000 0.500
W1 W 0.500 0.500 0.000
```